Record 1
DFT (PBE) results for NaAg2PdCl8 after structural relaxation.

Lattice parameters (Å, degrees): 6.0731 7.7538 6.2923 90.00 93.95 90.00
Last column: nearest neighbours and their distance in Å.
Sites, in units of the cell vectors:
Na 0.0000 0.0000 0.0000  6 Cl 2.71-2.77
Ag 0.5000 0.2541 0.5000  4 Cl 2.53-2.60
Ag 0.5000 0.7459 0.5000  4 Cl 2.53-2.60
Pd 0.0000 0.5000 0.0000  6 Cl 2.36-2.48
Cl 0.2076 0.2847 0.8395  1 Pd 2.36
Cl 0.2076 0.7153 0.8395  1 Pd 2.36
Cl 0.2686 0.5000 0.3152  1 Pd 2.48, 2 Ag 2.60
Cl 0.2716 0.0000 0.3597  2 Ag 2.53, 1 Na 2.71
Cl 0.7284 0.0000 0.6403  2 Ag 2.53, 1 Na 2.71
Cl 0.7314 0.5000 0.6848  1 Pd 2.48, 2 Ag 2.60
Cl 0.7924 0.2847 0.1605  1 Pd 2.36
Cl 0.7924 0.7153 0.1605  1 Pd 2.36

Calculated values
* E: -2.83 eV per atom
* magnetization: 0.00 μB/atom

***

Record 2
DFT (PBE) results for Mn2TlSe after structural relaxation.

Lattice parameters (Å, degrees): 4.0889 3.4341 6.3983 90.00 90.06 90.00
Last column: nearest neighbours and their distance in Å.
Sites, in units of the cell vectors:
Mn 0.0002 0.0000 0.2168  2 Se 2.50, 1 Mn 2.77
Mn 0.9998 0.0000 0.7832  2 Se 2.50, 1 Mn 2.77
Tl 0.5000 0.5000 0.0000  8 Mn 3.01
Se 0.0000 0.5000 0.5000  4 Mn 2.50

Calculated values
* E: -5.82 eV per atom
* magnetization: 1.99 μB/atom

***

Record 3
DFT (PBE) results for LaInGaRh3 after structural relaxation.

Lattice parameters (Å, degrees): 8.9850 8.9850 5.5551 90.00 90.00 143.71
Last column: nearest neighbours and their distance in Å.
Sites, in units of the cell vectors:
La 0.2379 0.7621 0.7500  4 Rh 2.78-2.83
La 0.7621 0.2379 0.2500  4 Rh 2.78-2.83
In 0.3939 0.6061 0.2500  5 Rh 2.65-2.69
In 0.6061 0.3939 0.7500  5 Rh 2.65-2.69
Ga 0.0942 0.9058 0.2500  5 Rh 2.47-2.53
Ga 0.9058 0.0942 0.7500  5 Rh 2.47-2.53
Rh 0.2389 0.7611 0.2500  1 Ga 2.47, 1 In 2.65
Rh 0.2439 0.2439 0.0000  2 Ga 2.53, 2 In 2.69, 3 Rh 2.73-2.78
Rh 0.2439 0.2439 0.5000  2 Ga 2.53, 2 In 2.69, 3 Rh 2.73-2.78
Rh 0.7561 0.7561 0.0000  2 Ga 2.53, 2 In 2.69, 3 Rh 2.73-2.78
Rh 0.7561 0.7561 0.5000  2 Ga 2.53, 2 In 2.69, 3 Rh 2.73-2.78
Rh 0.7611 0.2389 0.7500  1 Ga 2.47, 1 In 2.65

Calculated values
* E: -5.83 eV per atom
* E_form: -0.3717 eV/atom
* magnetization: 0.00 μB/atom

***

Record 4
DFT (PBE) results for YHfBeSb2 after structural relaxation.

Lattice parameters (Å, degrees): 5.4591 5.4591 4.6514 90.00 90.00 90.00
Last column: nearest neighbours and their distance in Å.
Sites, in units of the cell vectors:
Y 0.0000 0.0000 0.0000  8 Sb 3.59, 4 Be 3.86
Hf 0.5000 0.5000 0.5000  2 Be 2.33
Be 0.5000 0.5000 0.0000  2 Hf 2.33
Sb 0.0000 0.5000 0.5000  2 Hf 2.73
Sb 0.5000 0.0000 0.5000  2 Hf 2.73

Calculated values
* E: -5.46 eV per atom
* magnetization: 0.00 μB/atom

***

Record 5
DFT (PBE) results for Ge4RuRh2 after structural relaxation.

Lattice parameters (Å, degrees): 6.5930 6.5930 6.5710 114.27 114.27 27.87
Last column: nearest neighbours and their distance in Å.
Sites, in units of the cell vectors:
Ge 0.0990 0.0990 0.3134  3 Rh 2.40-2.59, 2 Ru 2.48
Ge 0.3477 0.3477 0.1388  1 Ru 2.48, 3 Rh 2.48-2.65
Ge 0.6523 0.6523 0.8612  1 Ru 2.48, 3 Rh 2.48-2.65
Ge 0.9010 0.9010 0.6866  3 Rh 2.40-2.59, 2 Ru 2.48
Ru 0.5000 0.5000 0.0000  6 Ge 2.48
Rh 0.2429 0.2429 0.6942  6 Ge 2.40-2.65
Rh 0.7571 0.7571 0.3058  6 Ge 2.40-2.65

Calculated values
* E: -6.42 eV per atom
* E_form: -0.3511 eV/atom
* magnetization: 0.00 μB/atom

***

Record 6
DFT (PBE) results for YBeCd2 after structural relaxation.

Lattice parameters (Å, degrees): 3.2340 3.2340 7.7990 90.00 90.00 90.00
Last column: nearest neighbours and their distance in Å.
Sites, in units of the cell vectors:
Y 0.0000 0.0000 0.0000  4 Be 2.96, 4 Y 3.23, 5 Cd 3.29
Be 0.5000 0.5000 0.2403  4 Cd 2.69, 4 Y 2.96
Cd 0.0000 0.0000 0.4214  4 Be 2.69
Cd 0.5000 0.5000 0.6965  8 Cd 3.14-3.23, 4 Y 3.29

Calculated values
* E: -2.96 eV per atom
* E_form: 0.0402 eV/atom
* magnetization: 0.05 μB/atom

***

Record 7
DFT (PBE) results for Dy4Y3Th2 after structural relaxation.

Lattice parameters (Å, degrees): 8.7097 8.7097 6.3384 104.78 104.78 38.87
Last column: nearest neighbours and their distance in Å.
Sites, in units of the cell vectors:
Dy 0.0605 0.0605 0.2393  2 Dy 3.15-3.32, 2 Th 3.33-3.35, 2 Y 3.36
Dy 0.2705 0.2705 0.3651  3 Dy 3.32-3.52, 3 Th 3.44-3.72, 3 Y 3.55-3.63
Dy 0.7295 0.7295 0.6349  3 Dy 3.32-3.52, 3 Th 3.44-3.72, 3 Y 3.55-3.63
Dy 0.9395 0.9395 0.7607  2 Dy 3.15-3.32, 2 Th 3.33-3.35, 2 Y 3.36
Y 0.3759 0.3759 0.9338  4 Dy 3.36-3.61, 3 Th 3.49-3.64, 1 Y 3.62
Y 0.5000 0.5000 0.5000  6 Dy 3.61-3.63, 4 Y 3.62-3.84, 4 Th 3.87
Y 0.6241 0.6241 0.0662  4 Dy 3.36-3.61, 3 Th 3.49-3.64, 1 Y 3.62
Th 0.1455 0.1455 0.7797  6 Dy 3.33-3.72, 3 Y 3.49-3.64
Th 0.8545 0.8545 0.2203  6 Dy 3.33-3.72, 3 Y 3.49-3.64

Calculated values
* E: -5.72 eV per atom
* E_form: 0.1294 eV/atom
* magnetization: 0.00 μB/atom

***

Record 8
DFT (PBE) results for PdPbSCl2 after structural relaxation.

Lattice parameters (Å, degrees): 4.8235 4.8235 4.9397 90.00 90.00 90.00
Last column: nearest neighbours and their distance in Å.
Sites, in units of the cell vectors:
Pd 0.0000 0.0000 0.0000  4 Cl 2.41, 2 S 2.47
Pb 0.5000 0.5000 0.5000  4 S 3.41, 8 Cl 3.45
S 0.0000 0.0000 0.5000  2 Pd 2.47
Cl 0.0000 0.5000 0.0000  2 Pd 2.41
Cl 0.5000 0.0000 0.0000  2 Pd 2.41

Calculated values
* E: -3.73 eV per atom
* magnetization: 0.00 μB/atom

***

Record 9
DFT (PBE) results for Y2GaCuH after structural relaxation.

Lattice parameters (Å, degrees): 4.8916 4.8916 3.7309 90.00 90.00 90.00
Last column: nearest neighbours and their distance in Å.
Sites, in units of the cell vectors:
Y 0.0000 0.5000 0.0000  2 H 2.45
Y 0.5000 0.0000 0.0000  2 H 2.45
Ga 0.0000 0.0000 0.5000  8 Y 3.08
Cu 0.5000 0.5000 0.5000  2 H 1.87
H 0.5000 0.5000 0.0000  2 Cu 1.87

Calculated values
* E: -5.10 eV per atom
* magnetization: 0.02 μB/atom

***

Record 10
DFT (PBE) results for MnTc5 after structural relaxation.

Lattice parameters (Å, degrees): 5.1495 5.1495 6.4031 103.84 103.84 30.82
Last column: nearest neighbours and their distance in Å.
Sites, in units of the cell vectors:
Mn 0.0000 0.0000 0.0000  10 Tc 2.61-2.74, 2 Mn 2.74
Tc 0.0549 0.0549 0.6115  11 Tc 2.65-2.75, 1 Mn 2.68
Tc 0.3390 0.3390 0.6714  10 Tc 2.65-2.80, 2 Mn 2.68
Tc 0.3929 0.3929 0.2664  2 Mn 2.61, 10 Tc 2.63-2.78
Tc 0.6647 0.6647 0.3264  10 Tc 2.63-2.80, 2 Mn 2.69
Tc 0.7175 0.7175 0.9433  9 Tc 2.63-2.74, 3 Mn 2.66-2.74

Calculated values
* E: -10.12 eV per atom
* E_form: 0.0492 eV/atom
* magnetization: 0.12 μB/atom

***

Record 11
DFT (PBE) results for SrLa11 after structural relaxation.

Lattice parameters (Å, degrees): 11.9190 11.9190 3.7288 90.00 90.00 120.00
Last column: nearest neighbours and their distance in Å.
Sites, in units of the cell vectors:
Sr 0.0000 0.0000 0.0000  2 Sr 3.73, 12 La 4.12
La 0.0000 0.5000 0.0000  12 La 3.44-3.82
La 0.1781 0.3563 0.5000  10 La 3.68-3.82
La 0.1781 0.8219 0.5000  10 La 3.68-3.82
La 0.3333 0.6667 0.0000  11 La 3.44-3.73
La 0.3563 0.1781 0.5000  10 La 3.68-3.82
La 0.5000 0.0000 0.0000  12 La 3.44-3.82
La 0.5000 0.5000 0.0000  12 La 3.44-3.82
La 0.6437 0.8219 0.5000  10 La 3.68-3.82
La 0.6667 0.3333 0.0000  11 La 3.44-3.73
La 0.8219 0.1781 0.5000  10 La 3.68-3.82
La 0.8219 0.6437 0.5000  10 La 3.68-3.82

Calculated values
* E: -4.62 eV per atom
* E_form: 0.0413 eV/atom
* magnetization: 0.00 μB/atom

***

Record 12
DFT (PBE) results for ErScIrPd after structural relaxation.

Lattice parameters (Å, degrees): 4.7421 4.7421 4.7421 60.00 60.00 60.00
Last column: nearest neighbours and their distance in Å.
Sites, in units of the cell vectors:
Er 0.0000 0.0000 0.0000  4 Ir 2.90, 4 Pd 2.90
Sc 0.5000 0.5000 0.5000  4 Pd 2.90, 4 Ir 2.90
Ir 0.7500 0.7500 0.7500  4 Sc 2.90, 4 Er 2.90
Pd 0.2500 0.2500 0.2500  4 Sc 2.90, 4 Er 2.90

Calculated values
* E: -7.19 eV per atom
* E_form: -0.9500 eV/atom
* magnetization: 0.00 μB/atom

***

Record 13
DFT (PBE) results for TbCe2Pd after structural relaxation.

Lattice parameters (Å, degrees): 3.7067 3.7067 7.8430 90.00 90.00 90.00
Last column: nearest neighbours and their distance in Å.
Sites, in units of the cell vectors:
Tb 0.0000 0.0000 0.0000  8 Ce 3.52, 4 Tb 3.71, 2 Pd 3.92
Ce 0.5000 0.5000 0.3005  4 Pd 3.05, 1 Ce 3.13
Ce 0.5000 0.5000 0.6995  4 Pd 3.05, 1 Ce 3.13
Pd 0.0000 0.0000 0.5000  8 Ce 3.05

Calculated values
* E: -5.66 eV per atom
* E_form: -0.2330 eV/atom
* magnetization: 0.36 μB/atom